Version one
VASP calculation (GGA-PBE) on a relaxed structure of Sr2TlIn2.

Computed properties:
Crystal system: monoclinic

Cell lengths 6.614, 6.614, 12.218 Å; angles 114.88, 114.88, 44.58 degrees
Fractional coordinates of all 10 atoms:
Sr  0.008  0.008  0.327
Sr  0.186  0.186  0.107
Sr  0.814  0.814  0.893
Sr  0.992  0.992  0.673
Tl  0.283  0.283  0.663
Tl  0.717  0.717  0.337
In  0.361  0.361  0.448
In  0.469  0.469  0.107
In  0.531  0.531  0.893
In  0.639  0.639  0.552

Version two
VASP calculation (GGA-PBE) on a relaxed structure of Sr2TlIn2.

Computed properties:
Crystal system: tetragonal

Cell lengths 9.446, 9.446, 4.030 Å; angles 90.00, 90.00, 90.00 degrees
Fractional coordinates of all 10 atoms:
Sr  0.179  0.321  0.000
Sr  0.321  0.821  0.000
Sr  0.679  0.179  0.000
Sr  0.821  0.679  0.000
Tl  0.000  0.000  0.000
Tl  0.500  0.500  0.000
In  0.116  0.616  0.500
In  0.384  0.116  0.500
In  0.616  0.884  0.500
In  0.884  0.384  0.500

Which structure wins on stability? version one wins.